1.
Compound: MnNbAl
Source: Alexandria via LeMat-Bulk
Functional: PBE-GGA
Structure: optimized geometry

Unit cell a=4.9667 b=4.9667 c=4.9667 alpha=122.05 beta=118.12 gamma=89.89
Fractional coordinates of all 6 atoms:
Mn  0.5000  0.0000  0.0000
Mn  0.5000  0.5000  0.5000
Nb  0.1236  0.3736  0.7500
Nb  0.8764  0.6264  0.2500
Al  0.0000  0.0000  0.0000
Al  0.5000  0.0000  0.5000

- E above lowest polymorph (meV/atom) = 0
- energy of formation from the pure elements (eV per atom) = -0.275
- calculated volume (Å³/atom) = 14.4
- DOS at the Fermi energy (states/eV/f.u.) = 2.756
- space group = No. 74

2.
Compound: Tm5Tl4Ag
Source: Alexandria via LeMat-Bulk
Functional: PBE-GGA
Structure: optimized geometry

Unit cell a=3.5839 b=3.5839 c=20.0863 alpha=90.00 beta=90.00 gamma=90.00
Fractional coordinates of all 10 atoms:
Tm  0.0000  0.0000  0.0000
Tm  0.0000  0.0000  0.2064
Tm  0.0000  0.0000  0.4114
Tm  0.0000  0.0000  0.5886
Tm  0.0000  0.0000  0.7936
Tl  0.5000  0.5000  0.1031
Tl  0.5000  0.5000  0.3090
Tl  0.5000  0.5000  0.6910
Tl  0.5000  0.5000  0.8969
Ag  0.5000  0.5000  0.5000

- energy of formation from the pure elements (eV per atom) = -0.319
- calculated volume (Å³/atom) = 25.8
- DOS at the Fermi energy (states/eV/f.u.) = 4.851
- space group = No. 123